A relaxed structure of LaPrPtRh. Source: Alexandria, functional PBE-GGA.

abc: 5.1112 5.1112 5.1112
angles: 60.00 60.00 60.00
Positions (direct):
1 Pt 0.7500 0.7500 0.7500
2 Pr 0.0000 0.0000 0.0000
3 La 0.5000 0.5000 0.5000
4 Rh 0.2500 0.2500 0.2500

Results
M_tot ... 0.00 μB/f.u.
DOS at the Fermi energy ... 2.25 states/eV/cell
E ... -6.62 eV per atom
Energy of formation ... -3.39 eV per formula unit



A relaxed structure of LaPrPtRh. Source: Alexandria, functional PBE-GGA.

abc: 3.9844 4.4097 5.9084
angles: 90.00 109.71 90.00
Positions (direct):
1 Pt 0.5868 0.5000 0.1735
2 Pr 0.1406 0.0000 0.2812
3 La 0.8643 0.5000 0.7286
4 Rh 0.4084 0.0000 0.8167

Results
M_tot ... 0.00 μB/f.u.
DOS at the Fermi energy ... 2.01 states/eV/cell
E ... -6.72 eV per atom
Energy of formation ... -3.78 eV per formula unit



A relaxed structure of LaPrRuPt. Source: Alexandria, functional PBE-GGA.

abc: 5.0945 5.0945 5.0945
angles: 60.00 60.00 60.00
Positions (direct):
1 Ru 0.2500 0.2500 0.2500
2 Pr 0.5000 0.5000 0.5000
3 La 0.0000 0.0000 0.0000
4 Pt 0.7500 0.7500 0.7500

Results
M_tot ... 0.00 μB/f.u.
DOS at the Fermi energy ... 4.26 states/eV/cell
E ... -6.79 eV per atom
Energy of formation ... -2.14 eV per formula unit